(1)
Material: MgNb2C
Method: DFT, GGA-PBE
State: relaxed

Its uncorrected energy is -6.5113 eV/atom. For the formation energy, the calculation gives 1.2282 eV per atom.

The structure belongs to space group Fm-3m (No. 225); the cell edges are 6.161, 6.161 and 6.161 Å and the angles 90.00°, 90.00° and 90.00°. Symmetry generates all atoms from Mg at (0.000, 0.000, 0.000), Nb at (0.250, 0.250, 0.250) and C at (0.000, 0.000, 0.500).



(2)
Material: Mg6NbC
Method: DFT, GGA-PBE
State: relaxed

For the energy above the most stable polymorph in this dataset, the calculation gives 0 meV per atom. Its uncorrected energy is -3.3190 eV/atom. For the formation energy, the calculation gives 0.2886 eV per atom.

The structure belongs to space group Amm2 (No. 38); the cell edges are 4.400, 7.876 and 9.674 Å and the angles 90.00°, 90.00° and 90.00°. Symmetry generates all atoms from Mg at (0.000, 0.000, 0.000), Mg at (0.000, 0.194, 0.701), Mg at (0.500, 0.000, 0.213), Mg at (0.500, 0.231, 0.952), Nb at (0.000, 0.000, 0.426) and C at (0.500, 0.000, 0.443).



(3)
Material: Mg2NbC
Method: DFT, GGA-PBE
State: relaxed

Its uncorrected energy is -5.0630 eV/atom. For the formation energy, the calculation gives 0.5577 eV per atom.

The structure belongs to space group I-42d (No. 122); the cell edges are 7.712, 7.712 and 4.449 Å and the angles 90.00°, 90.00° and 90.00°. Symmetry generates all atoms from Mg at (0.141, 0.250, 0.125), Nb at (0.000, 0.000, 0.500) and C at (0.000, 0.000, 0.000).



(4)
Material: MgNb3C
Method: DFT, GGA-PBE
State: relaxed

For the energy above the most stable polymorph in this dataset, the calculation gives 0 meV per atom. Its uncorrected energy is -8.2437 eV/atom. For the formation energy, the calculation gives -0.0381 eV per atom.

The structure belongs to space group Pm-3m (No. 221); the cell edges are 4.362, 4.362 and 4.362 Å and the angles 90.00°, 90.00° and 90.00°. Symmetry generates all atoms from Mg at (0.000, 0.000, 0.000), Nb at (0.000, 0.500, 0.500) and C at (0.500, 0.500, 0.500).



(5)
Material: MgNbC3
Method: DFT, GGA-PBE
State: relaxed

For the energy above the most stable polymorph in this dataset, the calculation gives 933 meV per atom. Its uncorrected energy is -5.3256 eV/atom. For the formation energy, the calculation gives 2.5416 eV per atom.

The structure belongs to space group Pm-3m (No. 221); the cell edges are 3.901, 3.901 and 3.901 Å and the angles 90.00°, 90.00° and 90.00°. Symmetry generates all atoms from Mg at (0.000, 0.000, 0.000), Nb at (0.500, 0.500, 0.500) and C at (0.000, 0.000, 0.500).



(6)
Material: MgNbPd2C
Method: DFT, GGA-PBE
State: relaxed

Its uncorrected energy is -4.0965 eV/atom. For the formation energy, the calculation gives 2.1583 eV per atom.

The structure belongs to space group P4/mmm (No. 123); the cell edges are 4.340, 4.340 and 5.146 Å and the angles 90.00°, 90.00° and 90.00°. Symmetry generates all atoms from Mg at (0.000, 0.000, 0.000), Nb at (0.000, 0.000, 0.500), Pd at (0.000, 0.500, 0.000) and C at (0.500, 0.500, 0.500).



(7)
Material: MgNbRe2C
Method: DFT, GGA-PBE
State: relaxed

Its uncorrected energy is -8.9965 eV/atom. For the formation energy, the calculation gives 0.1604 eV per atom.

The structure belongs to space group P4/mmm (No. 123); the cell edges are 4.129, 4.129 and 4.316 Å and the angles 90.00°, 90.00° and 90.00°. Symmetry generates all atoms from Mg at (0.000, 0.000, 0.000), Nb at (0.500, 0.500, 0.000), Re at (0.000, 0.500, 0.500) and C at (0.500, 0.500, 0.500).



(8)
Material: MgNbRuC2
Method: DFT, GGA-PBE
State: relaxed

Its uncorrected energy is -6.2258 eV/atom. For the formation energy, the calculation gives 1.6517 eV per atom.

The structure belongs to space group P4/mmm (No. 123); the cell edges are 4.189, 4.189 and 4.906 Å and the angles 90.00°, 90.00° and 90.00°. Symmetry generates all atoms from Mg at (0.000, 0.000, 0.000), Nb at (0.500, 0.500, 0.500), Ru at (0.500, 0.500, 0.000) and C at (0.000, 0.500, 0.500).



(9)
Material: MgSc2NbC
Method: DFT, GGA-PBE
State: relaxed

Its uncorrected energy is -6.9445 eV/atom. For the formation energy, the calculation gives -0.2343 eV per atom.

The structure belongs to space group P4/mmm (No. 123); the cell edges are 4.545, 4.545 and 4.420 Å and the angles 90.00°, 90.00° and 90.00°. Symmetry generates all atoms from Mg at (0.000, 0.000, 0.000), Sc at (0.000, 0.500, 0.500), Nb at (0.500, 0.500, 0.000) and C at (0.500, 0.500, 0.500).



(10)
Material: MgTi2NbC
Method: DFT, GGA-PBE
State: relaxed

Its uncorrected energy is -7.5886 eV/atom. For the formation energy, the calculation gives -0.2530 eV per atom.

The structure belongs to space group P4/mmm (No. 123); the cell edges are 4.245, 4.245 and 4.376 Å and the angles 90.00°, 90.00° and 90.00°. Symmetry generates all atoms from Mg at (0.000, 0.000, 0.000), Ti at (0.000, 0.500, 0.500), Nb at (0.500, 0.500, 0.000) and C at (0.500, 0.500, 0.500).



(11)
Material: Mg2NbZnC
Method: DFT, GGA-PBE
State: relaxed

Its uncorrected energy is -3.9503 eV/atom. For the formation energy, the calculation gives 0.8011 eV per atom.

The structure belongs to space group P4/mmm (No. 123); the cell edges are 4.353, 4.353 and 4.228 Å and the angles 90.00°, 90.00° and 90.00°. Symmetry generates all atoms from Mg at (0.000, 0.500, 0.000), Nb at (0.000, 0.000, 0.500), Zn at (0.500, 0.500, 0.500) and C at (0.500, 0.500, 0.000).



(12)
Material: Nd6Mg23C
Method: DFT, GGA-PBE
State: relaxed

Its uncorrected energy is -2.5859 eV/atom. For the formation energy, the calculation gives -0.1023 eV per atom.

The structure belongs to space group Fm-3m (No. 225); the cell edges are 14.408, 14.408 and 14.408 Å and the angles 90.00°, 90.00° and 90.00°. Symmetry generates all atoms from Nd at (0.000, 0.000, 0.182), Mg at (0.000, 0.000, 0.500), Mg at (0.000, 0.250, 0.250), Mg at (0.121, 0.121, 0.379), Mg at (0.171, 0.171, 0.171) and C at (0.000, 0.000, 0.000).



(13)
Material: Nd4MgC
Method: DFT, GGA-PBE
State: relaxed

Its uncorrected energy is -4.9245 eV/atom. For the formation energy, the calculation gives 0.0571 eV per atom.

The structure belongs to space group C2/c (No. 15); the cell edges are 9.027, 14.083 and 6.330 Å and the angles 90.00°, 115.37° and 90.00°. Symmetry generates all atoms from Nd at (0.140, 0.203, 0.148), Nd at (0.194, 0.051, 0.678), Mg at (0.000, 0.393, 0.750) and C at (0.000, 0.074, 0.250).



(14)
Material: NdMg3C4O12
Method: DFT, GGA-PBE
State: relaxed

As for the formation energy (no corrections): -1.99 eV/atom. Its uncorrected energy is -7.2873 eV/atom.

The structure belongs to space group R32 (No. 155, hexagonal axes); the cell edges are 9.6455, 9.6455 and 7.9635 Å and the angles 90.00°, 90.00° and 120.00°. Symmetry generates all atoms from Nd at (0.0000, 0.0000, 0.0000), Mg at (0.0000, 0.5454, 0.0000), C at (0.0000, 0.0000, 0.5000), C at (0.0000, 0.4535, 0.5000), O at (0.0000, 0.5898, 0.5000), O at (0.0000, 0.8651, 0.5000) and O at (0.0141, 0.2112, 0.1794).



(15)
Material: Nd2MgPbC
Method: DFT, GGA-PBE
State: relaxed

Its uncorrected energy is -5.1305 eV/atom. For the formation energy, the calculation gives -0.3180 eV per atom.

The structure belongs to space group P4/mmm (No. 123); the cell edges are 5.189, 5.189 and 4.481 Å and the angles 90.00°, 90.00° and 90.00°. Symmetry generates all atoms from Nd at (0.000, 0.500, 0.000), Mg at (0.000, 0.000, 0.500), Pb at (0.500, 0.500, 0.500) and C at (0.000, 0.000, 0.000).



(16)
Material: NdMg2Ru2C
Method: DFT, GGA-PBE
State: relaxed

Its uncorrected energy is -6.0030 eV/atom. For the formation energy, the calculation gives -0.0476 eV per atom.

The structure belongs to space group P4/mmm (No. 123); the cell edges are 4.180, 4.180 and 5.945 Å and the angles 90.00°, 90.00° and 90.00°. Symmetry generates all atoms from Nd at (0.000, 0.000, 0.000), Mg at (0.500, 0.500, 0.236), Ru at (0.000, 0.500, 0.500) and C at (0.000, 0.000, 0.500).



(17)
Material: NdY2MgC
Method: DFT, GGA-PBE
State: relaxed

Its uncorrected energy is -5.8586 eV/atom. For the formation energy, the calculation gives -0.1557 eV per atom.

The structure belongs to space group P4/mmm (No. 123); the cell edges are 4.954, 4.954 and 5.271 Å and the angles 90.00°, 90.00° and 90.00°. Symmetry generates all atoms from Nd at (0.000, 0.000, 0.000), Y at (0.000, 0.500, 0.500), Mg at (0.500, 0.500, 0.000) and C at (0.000, 0.000, 0.500).



(18)
Material: Mg2NiC
Method: DFT, GGA-PBE
State: relaxed

Its uncorrected energy is -4.3478 eV/atom. For the formation energy, the calculation gives 0.2008 eV per atom.

The structure belongs to space group Amm2 (No. 38); the cell edges are 3.075, 3.802 and 9.077 Å and the angles 90.00°, 90.00° and 90.00°. Symmetry generates all atoms from Mg at (0.000, 0.000, 0.000), Mg at (0.500, 0.000, 0.303), Ni at (0.000, 0.000, 0.690) and C at (0.500, 0.000, 0.568).



(19)
Material: Mg2NiC
Method: DFT, GGA-PBE
State: relaxed

Its uncorrected energy is -4.2196 eV/atom. For the formation energy, the calculation gives 0.3290 eV per atom.

The structure belongs to space group Cm (No. 8); the cell edges are 11.517, 3.409 and 2.991 Å and the angles 90.00°, 104.94° and 90.00°. Symmetry generates all atoms from Mg at (0.000, 0.000, 0.000), Mg at (0.211, 0.500, 0.711), Ni at (0.352, 0.000, 0.352) and C at (0.014, 0.500, 0.514).



(20)
Material: Mg2NiC
Method: DFT, GGA-PBE
State: relaxed

Its uncorrected energy is -4.2972 eV/atom. For the formation energy, the calculation gives 0.2514 eV per atom.

The structure belongs to space group Imm2 (No. 44); the cell edges are 2.857, 6.315 and 7.259 Å and the angles 90.00°, 90.00° and 90.00°. Symmetry generates all atoms from Mg at (0.000, 0.244, 0.000), Ni at (0.000, 0.000, 0.711) and C at (0.000, 0.500, 0.382).



(21)
Material: Mg3NiC
Method: DFT, GGA-PBE
State: relaxed

For the energy above the most stable polymorph in this dataset, the calculation gives 0 meV per atom. Its uncorrected energy is -3.6530 eV/atom. For the formation energy, the calculation gives 0.3048 eV per atom.

The structure belongs to space group Pm-3m (No. 221); the cell edges are 4.293, 4.293 and 4.293 Å and the angles 90.00°, 90.00° and 90.00°. Symmetry generates all atoms from Mg at (0.000, 0.000, 0.500), Ni at (0.500, 0.500, 0.500) and C at (0.000, 0.000, 0.000).



(22)
Material: MgNi2C
Method: DFT, GGA-PBE
State: relaxed

For the energy above the most stable polymorph in this dataset, the calculation gives 0 meV per atom. Its uncorrected energy is -5.2440 eV/atom. For the formation energy, the calculation gives 0.3513 eV per atom.

The structure belongs to space group I4_1/amd (No. 141, origin choice 2); the cell edges are 4.576, 4.576 and 11.349 Å and the angles 90.00°, 90.00° and 90.00°. Symmetry generates all atoms from Mg at (0.000, 0.250, 0.375), Ni at (0.000, 0.000, 0.000) and C at (0.000, 0.250, 0.875).



(23)
Material: Mg2NiC
Method: DFT, GGA-PBE
State: relaxed

Its uncorrected energy is -4.3172 eV/atom. For the formation energy, the calculation gives 0.2314 eV per atom.

The structure belongs to space group Imm2 (No. 44); the cell edges are 3.011, 7.156 and 4.997 Å and the angles 90.00°, 90.00° and 90.00°. Symmetry generates all atoms from Mg at (0.000, 0.190, 0.000), Ni at (0.000, 0.000, 0.485) and C at (0.000, 0.500, 0.753).



(24)
Material: MgNi2C
Method: DFT, GGA-PBE
State: relaxed

For the energy above the most stable polymorph in this dataset, the calculation gives 536 meV per atom. Its uncorrected energy is -4.7082 eV/atom. For the formation energy, the calculation gives 0.8871 eV per atom.

The structure belongs to space group Fm-3m (No. 225); the cell edges are 5.505, 5.505 and 5.505 Å and the angles 90.00°, 90.00° and 90.00°. Symmetry generates all atoms from Mg at (0.000, 0.000, 0.000), Ni at (0.250, 0.250, 0.250) and C at (0.000, 0.000, 0.500).



(25)
Material: MgNi3C
Method: DFT, GGA-PBE
State: relaxed

For the energy above the most stable polymorph in this dataset, the calculation gives 2561 meV per atom. Its uncorrected energy is -3.2088 eV/atom. For the formation energy, the calculation gives 2.4237 eV per atom.

The structure belongs to space group Pm-3m (No. 221); the cell edges are 4.292, 4.292 and 4.292 Å and the angles 90.00°, 90.00° and 90.00°. Symmetry generates all atoms from Mg at (0.000, 0.000, 0.000), Ni at (0.000, 0.000, 0.500) and C at (0.500, 0.500, 0.500).